[1]
Material: Hg2RuPt
Method: DFT, SCAN
State: PBEsol geometry

a = 4.889 Å, b = 2.865 Å, c = 5.141 Å
α = 90.00°, β = 110.61°, γ = 90.00°
Space group P2/m (No. 10)
One atom of each set of equivalent atoms:
Hg: 0.000 0.000 0.000
Hg: 0.000 0.500 0.500
Ru: 0.500 0.000 0.500
Pt: 0.500 0.500 0.000

## Properties
ΔE to the lowest computed polymorph: 10.4 kJ per mole of atoms
ΔE_f: 0.411 eV per atom
Magnetic moment: 0.764 μB/cell

---

[2]
Material: Hg2RuPt
Method: DFT, SCAN
State: PBEsol geometry

a = 2.875 Å, b = 2.875 Å, c = 8.377 Å
α = 90.00°, β = 90.00°, γ = 90.00°
Space group P4mm (No. 99)
One atom of each set of equivalent atoms:
Hg: 0.000 0.000 0.000
Hg: 0.500 0.500 0.299
Ru: 0.500 0.500 0.756
Pt: 0.000 0.000 0.553

## Properties
ΔE to the lowest computed polymorph: 0.0 kJ per mole of atoms
ΔE_f: 0.303 eV per atom
Magnetic moment: 1.640 μB/cell

---

[3]
Material: HgSb3Pt
Method: DFT, SCAN
State: PBEsol geometry

a = 5.316 Å, b = 5.316 Å, c = 5.316 Å
α = 90.00°, β = 90.00°, γ = 90.00°
Space group Pm-3m (No. 221)
One atom of each set of equivalent atoms:
Hg: 0.000 0.000 0.000
Sb: 0.000 0.000 0.500
Pt: 0.500 0.500 0.500

## Properties
Formation energy from raw total energies: 6.7 eV/f.u.
Magnetic moment: 0.000 μB/cell

---

[4]
Material: HgSbPt
Method: DFT, SCAN
State: PBEsol geometry

a = 2.990 Å, b = 3.471 Å, c = 12.182 Å
α = 90.00°, β = 90.00°, γ = 90.00°
Space group Imm2 (No. 44)
One atom of each set of equivalent atoms:
Hg: 0.000 0.000 0.000
Sb: 0.000 0.000 0.715
Pt: 0.000 0.000 0.343

## Properties
Formation energy from raw total energies: 0.0 eV/f.u.
Magnetic moment: 0.000 μB/cell

---

[5]
Material: Sc2HgPt2
Method: DFT, SCAN
State: PBEsol geometry

a = 4.450 Å, b = 4.450 Å, c = 10.535 Å
α = 90.00°, β = 90.00°, γ = 90.00°
Space group I4/mmm (No. 139)
One atom of each set of equivalent atoms:
Sc: 0.000 0.500 0.250
Hg: 0.000 0.000 0.000
Pt: 0.000 0.000 0.381

## Properties
ΔE_f: -0.909 eV per atom
Magnetic moment: 0.000 μB/cell

---

[6]
Material: ScHgPt
Method: DFT, SCAN
State: PBEsol geometry

a = 6.346 Å, b = 6.346 Å, c = 6.346 Å
α = 90.00°, β = 90.00°, γ = 90.00°
Space group F-43m (No. 216)
One atom of each set of equivalent atoms:
Sc: 0.000 0.000 0.000
Hg: 0.250 0.250 0.750
Pt: 0.250 0.250 0.250

## Properties
ΔE_f: -0.535 eV per atom
Magnetic moment: 0.000 μB/cell

---

[7]
Material: ScHg3Pt
Method: DFT, SCAN
State: PBEsol geometry

a = 5.217 Å, b = 5.217 Å, c = 5.217 Å
α = 90.00°, β = 90.00°, γ = 90.00°
Space group Pm-3m (No. 221)
One atom of each set of equivalent atoms:
Sc: 0.000 0.000 0.000
Hg: 0.000 0.000 0.500
Pt: 0.500 0.500 0.500

## Properties
ΔE_f: 0.947 eV per atom
Magnetic moment: 0.000 μB/cell

---

[8]
Material: ScHgPt
Method: DFT, SCAN
State: PBEsol geometry

a = 3.493 Å, b = 3.493 Å, c = 8.871 Å
α = 90.00°, β = 90.00°, γ = 90.00°
Space group I4mm (No. 107)
One atom of each set of equivalent atoms:
Sc: 0.000 0.000 0.000
Hg: 0.000 0.000 0.321
Pt: 0.000 0.000 0.645

## Properties
ΔE_f: -0.950 eV per atom
Magnetic moment: 0.000 μB/cell

---

[9]
Material: ScHg2Pt
Method: DFT, SCAN
State: PBEsol geometry

a = 4.283 Å, b = 4.283 Å, c = 8.001 Å
α = 90.00°, β = 90.00°, γ = 90.00°
Space group I4/mmm (No. 139)
One atom of each set of equivalent atoms:
Sc: 0.000 0.000 0.000
Hg: 0.000 0.500 0.250
Pt: 0.000 0.000 0.500

## Properties
ΔE_f: -0.536 eV per atom
Magnetic moment: 0.000 μB/cell

---

[10]
Material: HgPt2Se3
Method: DFT, SCAN
State: PBEsol geometry

a = 7.3776 Å, b = 7.3776 Å, c = 5.2698 Å
α = 90.00°, β = 90.00°, γ = 120.00°
Space group P-3m1 (No. 164)
One atom of each set of equivalent atoms:
Hg: 0.3333 0.6667 0.3483
Pt: 0.0000 0.0000 0.0000
Pt: 0.0000 0.5000 0.0000
Se: 0.1720 0.3440 0.7574

## Properties
Formation energy from raw total energies: -2.6 eV/f.u.
Magnetic moment: 0.000 μB/cell

---

[11]
Material: SiHgPt2
Method: DFT, SCAN
State: PBEsol geometry

a = 4.052 Å, b = 4.052 Å, c = 7.726 Å
α = 90.00°, β = 90.00°, γ = 90.00°
Space group I4/mmm (No. 139)
One atom of each set of equivalent atoms:
Si: 0.000 0.000 0.000
Hg: 0.000 0.000 0.500
Pt: 0.000 0.500 0.250

## Properties
Formation energy from raw total energies: 0.3 eV/f.u.
Magnetic moment: 0.000 μB/cell

---

[12]
Material: SiHg2Pt
Method: DFT, SCAN
State: PBEsol geometry

a = 6.624 Å, b = 6.624 Å, c = 6.624 Å
α = 90.00°, β = 90.00°, γ = 90.00°
Space group F-43m (No. 216)
One atom of each set of equivalent atoms:
Si: 0.000 0.000 0.000
Hg: 0.000 0.000 0.500
Hg: 0.250 0.250 0.250
Pt: 0.250 0.250 0.750

## Properties
Formation energy from raw total energies: 1.7 eV/f.u.
Magnetic moment: 0.000 μB/cell